{
  "formula": "ZrTaVMo",
  "functional": "PBE-GGA",
  "state": "relaxed",
  "cell": [[-4.4766, 1.1703, -0.2306], [-2.4877, -1.0861, -3.7543], [-3.2666, -3.2754, 0.2536]],
  "species": ["Zr", "Mo", "V", "Ta"],
  "fractional_positions": [[0.7500, 0.7500, 0.7500], [0.0000, 0.0000, 0.0000], [0.5000, 0.5000, 0.5000], [0.2500, 0.2500, 0.2500]],
  "space_group": "F-43m (216)",
  "dft_energy_ev_per_atom": -10.050,
  "n_ef_per_ev_atom": 1.47,
  "formation_enthalpy_0k_mev_per_atom": 37
}